# 1
Here is a relaxed structure of Eu2AgAs from Alexandria via LeMat-Bulk. Energies are from PBE.

Output
N(E_F): 23.1 states/eV per cell
total magnetic moment: 13.98 μB per formula unit
formation energy from the elements: -0.712 eV/atom

Unit cell a=4.433 b=4.433 c=7.776 alpha=73.44 beta=73.44 gamma=60.00
Each line ends with the local moment (μB).
Fractional positions:
1 Eu 0.260 0.260 0.219  6.79
2 Eu 0.740 0.740 0.781  6.79
3 As 0.000 0.000 0.000  -0.09
4 Ag 0.500 0.500 0.500  0.00

# 2
Here is a relaxed structure of Eu2AgAs from Alexandria via LeMat-Bulk. Energies are from PBE.

Output
N(E_F): 16.1 states/eV per cell
total magnetic moment: 13.90 μB per formula unit
formation energy from the elements: -0.726 eV/atom

Unit cell a=3.898 b=5.187 c=5.187 alpha=90.00 beta=90.00 gamma=90.00
Each line ends with the local moment (μB).
Fractional positions:
1 Eu 0.000 0.000 0.500  6.82
2 Eu 0.000 0.500 0.000  6.82
3 As 0.500 0.500 0.500  -0.11
4 Ag 0.500 0.000 0.000  0.00

# 3
Here is a relaxed structure of NaEuAgAs from Alexandria via LeMat-Bulk. Energies are from PBE.

Output
N(E_F): 11.3 states/eV per cell
total magnetic moment: 6.89 μB per formula unit
formation energy from the elements: -0.491 eV/atom

Unit cell a=5.134 b=5.134 c=5.134 alpha=60.00 beta=60.00 gamma=60.00
Each line ends with the local moment (μB).
Fractional positions:
1 Eu 0.500 0.500 0.500  6.76
2 Na 0.000 0.000 0.000  0.00
3 As 0.750 0.750 0.750  -0.03
4 Ag 0.250 0.250 0.250  0.00

# 4
Here is a relaxed structure of SrEuAgAs from Alexandria via LeMat-Bulk. Energies are from PBE.

Output
N(E_F): 10.1 states/eV per cell
total magnetic moment: 7.02 μB per formula unit
formation energy from the elements: -0.729 eV/atom

Unit cell a=5.374 b=5.374 c=5.374 alpha=60.00 beta=60.00 gamma=60.00
Each line ends with the local moment (μB).
Fractional positions:
1 Eu 0.500 0.500 0.500  6.87
2 Sr 0.000 0.000 0.000  0.01
3 As 0.750 0.750 0.750  -0.06
4 Ag 0.250 0.250 0.250  -0.01

# 5
Here is a relaxed structure of Ag2AsF from Alexandria via LeMat-Bulk. Energies are from PBE.

Output
N(E_F): 1.3 states/eV per cell
total magnetic moment: 0.00 μB per formula unit
excess energy over the best structure of this formula in the dataset: 0.000 eV/atom
E_form (uncorrected): -320 meV per atom

Unit cell a=6.662 b=6.662 c=5.722 alpha=54.40 beta=54.40 gamma=90.00
Fractional positions:
1 As 0.000 0.000 0.000
2 As 0.750 0.250 0.500
3 Ag 0.599 0.125 0.250
4 Ag 0.151 0.625 0.250
5 Ag 0.375 0.401 0.750
6 Ag 0.875 0.849 0.750
7 F 0.500 0.500 0.000
8 F 0.250 0.750 0.500

# 6
Here is a relaxed structure of Ag3AsF12 from Alexandria via LeMat-Bulk. Energies are from PBE.

Output
N(E_F): 2.6 states/eV per cell
total magnetic moment: 0.00 μB per formula unit
E_form (uncorrected): -1482 meV per atom

Unit cell a=5.431 b=5.765 c=8.078 alpha=84.68 beta=87.59 gamma=88.50
Fractional positions:
1 Ag 0.000 0.000 0.000
2 Ag 0.500 0.500 0.500
3 Ag 0.000 0.000 0.500
4 As 0.500 0.500 0.000
5 F 0.076 0.995 0.252
6 F 0.817 0.338 0.440
7 F 0.745 0.649 0.081
8 F 0.670 0.491 0.810
9 F 0.637 0.226 0.075
10 F 0.659 0.807 0.458
11 F 0.341 0.193 0.542
12 F 0.363 0.774 0.925
13 F 0.330 0.509 0.190
14 F 0.255 0.351 0.919
15 F 0.183 0.662 0.560
16 F 0.924 0.005 0.748

# 7
Here is a relaxed structure of Ag2AsF6 from Alexandria via LeMat-Bulk. Energies are from PBE.

Output
N(E_F): 2.2 states/eV per cell
total magnetic moment: 0.00 μB per formula unit
excess energy over the best structure of this formula in the dataset: 0.013 eV/atom
E_form (uncorrected): -1569 meV per atom

Unit cell a=5.570 b=7.366 c=6.391 alpha=125.19 beta=51.06 gamma=90.00
Fractional positions:
1 Ag 0.900 0.375 0.749
2 Ag 0.100 0.625 0.251
3 As 0.000 0.000 0.000
4 F 0.895 0.096 0.832
5 F 0.484 0.266 0.531
6 F 0.895 0.736 0.832
7 F 0.105 0.904 0.168
8 F 0.516 0.734 0.469
9 F 0.105 0.264 0.168

# 8
Here is a relaxed structure of Ag6AsF12 from Alexandria via LeMat-Bulk. Energies are from PBE.

Output
N(E_F): 14.0 states/eV per cell
total magnetic moment: 0.00 μB per formula unit
E_form (uncorrected): -1388 meV per atom

Unit cell a=6.885 b=6.885 c=6.885 alpha=97.88 beta=97.88 gamma=97.88
Fractional positions:
1 Ag 0.672 0.849 0.400
2 Ag 0.600 0.328 0.151
3 Ag 0.151 0.600 0.328
4 Ag 0.328 0.151 0.600
5 Ag 0.400 0.672 0.849
6 Ag 0.849 0.400 0.672
7 As 0.000 0.000 0.000
8 F 0.838 0.592 0.391
9 F 0.391 0.838 0.592
10 F 0.592 0.391 0.838
11 F 0.162 0.408 0.609
12 F 0.609 0.162 0.408
13 F 0.408 0.609 0.162
14 F 0.046 0.997 0.261
15 F 0.003 0.739 0.954
16 F 0.739 0.954 0.003
17 F 0.954 0.003 0.739
18 F 0.997 0.261 0.046
19 F 0.261 0.046 0.997